Record 1
# CrTePd3 | Alexandria | PBE | relaxed
data_CrTePd3
_symmetry_space_group_name_H-M 'P m -3 m'
_symmetry_Int_Tables_number 221
_symmetry_space_group_name_Hall '-P 4 2 3'
_cell_length_a 4.927
_cell_length_b 4.927
_cell_length_c 4.927
_cell_angle_alpha 90.00
_cell_angle_beta 90.00
_cell_angle_gamma 90.00
loop_
_atom_site_label
_atom_site_type_symbol
_atom_site_fract_x
_atom_site_fract_y
_atom_site_fract_z
Cr1 Cr 0.000 0.000 0.000
Te1 Te 0.500 0.500 0.500
Pd1 Pd 0.000 0.500 0.500
# **Energy above the most stable polymorph in this dataset**: 0 meV per atom
# **Size of the total moment**: 4.60 μB per formula unit

Record 2
# CrTe4Pd2 | Alexandria | PBE | relaxed
data_CrTe4Pd2
_symmetry_space_group_name_H-M 'C 1 2/m 1'
_symmetry_Int_Tables_number 12
_cell_length_a 13.187
_cell_length_b 4.091
_cell_length_c 7.113
_cell_angle_alpha 90.00
_cell_angle_beta 121.03
_cell_angle_gamma 90.00
loop_
_symmetry_equiv_pos_as_xyz
'x,y,z'
'-x,-y,-z'
'-x,y,-z'
'x,-y,z'
'x+1/2,y+1/2,z'
'-x+1/2,-y+1/2,-z'
'-x+1/2,y+1/2,-z'
'x+1/2,-y+1/2,z'
loop_
_atom_site_label
_atom_site_type_symbol
_atom_site_fract_x
_atom_site_fract_y
_atom_site_fract_z
Cr1 Cr 0.000 0.000 0.000
Te1 Te 0.113 0.000 0.448
Te2 Te 0.126 0.500 0.962
Pd1 Pd 0.240 0.500 0.718
# **Size of the total moment**: 2.73 μB per formula unit

Record 3
# CrTe6Pd2 | Alexandria | PBE | relaxed
data_CrTe6Pd2
_symmetry_space_group_name_H-M 'C 1 2/m 1'
_symmetry_Int_Tables_number 12
_cell_length_a 11.869
_cell_length_b 4.169
_cell_length_c 11.768
_cell_angle_alpha 90.00
_cell_angle_beta 118.93
_cell_angle_gamma 90.00
loop_
_symmetry_equiv_pos_as_xyz
'x,y,z'
'-x,-y,-z'
'-x,y,-z'
'x,-y,z'
'x+1/2,y+1/2,z'
'-x+1/2,-y+1/2,-z'
'-x+1/2,y+1/2,-z'
'x+1/2,-y+1/2,z'
loop_
_atom_site_label
_atom_site_type_symbol
_atom_site_fract_x
_atom_site_fract_y
_atom_site_fract_z
Cr1 Cr 0.000 0.000 0.000
Te1 Te 0.064 0.500 0.893
Te2 Te 0.110 0.000 0.446
Te3 Te 0.229 0.000 0.224
Pd1 Pd 0.163 0.500 0.331
# **Size of the total moment**: 2.89 μB per formula unit

Record 4
# CrTe2Pd | Alexandria | PBE | relaxed
data_CrTe2Pd
_symmetry_space_group_name_H-M 'R -3 m'
_symmetry_Int_Tables_number 166
_symmetry_space_group_name_Hall '-R 3 2"'
_cell_length_a 3.7382
_cell_length_b 3.7382
_cell_length_c 25.0254
_cell_angle_alpha 90.00
_cell_angle_beta 90.00
_cell_angle_gamma 120.00
loop_
_atom_site_label
_atom_site_type_symbol
_atom_site_fract_x
_atom_site_fract_y
_atom_site_fract_z
Cr1 Cr 0.0000 0.0000 0.0000
Te1 Te 0.0000 0.0000 0.3973
Pd1 Pd 0.0000 0.0000 0.5000
# **Size of the total moment**: 2.23 μB per formula unit

Record 5
# CrTePd | Alexandria | PBE | relaxed
data_CrTePd
_symmetry_space_group_name_H-M 'A m m 2'
_symmetry_Int_Tables_number 38
_cell_length_a 11.700
_cell_length_b 3.355
_cell_length_c 5.814
_cell_angle_alpha 90.00
_cell_angle_beta 90.00
_cell_angle_gamma 90.00
loop_
_symmetry_equiv_pos_as_xyz
'x,y,z'
'-x,-y,z'
'-x,y,z'
'x,-y,z'
'x,y+1/2,z+1/2'
'-x,-y+1/2,z+1/2'
'-x,y+1/2,z+1/2'
'x,-y+1/2,z+1/2'
loop_
_atom_site_label
_atom_site_type_symbol
_atom_site_fract_x
_atom_site_fract_y
_atom_site_fract_z
Cr1 Cr 0.000 0.000 0.000
Cr2 Cr 0.500 0.000 0.004
Te1 Te 0.151 0.000 0.333
Pd1 Pd 0.348 0.000 0.672
# **Energy above the most stable polymorph in this dataset**: 287 meV per atom
# **Size of the total moment**: 1.91 μB per formula unit

Record 6
# Cr2TePd9 | Alexandria | PBE | relaxed
data_Cr2TePd9
_symmetry_space_group_name_H-M 'P 4/m m m'
_symmetry_Int_Tables_number 123
_symmetry_space_group_name_Hall '-P 4 2'
_cell_length_a 3.969
_cell_length_b 3.969
_cell_length_c 11.925
_cell_angle_alpha 90.00
_cell_angle_beta 90.00
_cell_angle_gamma 90.00
loop_
_atom_site_label
_atom_site_type_symbol
_atom_site_fract_x
_atom_site_fract_y
_atom_site_fract_z
Cr1 Cr 0.000 0.000 0.158
Te1 Te 0.000 0.000 0.500
Pd1 Pd 0.000 0.500 0.000
Pd2 Pd 0.000 0.500 0.323
Pd3 Pd 0.500 0.500 0.162
Pd4 Pd 0.500 0.500 0.500
# **Size of the total moment**: 6.62 μB per formula unit

Computed energy relative to the elements, uncorrected (meV per atom) in order:
542; -270; -247; 9; 235; -114